[1]
! SrTeBr (GGA-PBE, optimized geometry); values from VASP
! * calculated density: 4.08 g cm⁻³
! * formation energy without anion corrections: -1.519 eV per atom
! * energy above the lowest structure with this stoichiometry: 107 meV per atom
! * total magnetization: 0.00 μB per formula unit
&SYSTEM
  ibrav = 0, nat = 6, ntyp = 3
/
ATOMIC_SPECIES
Sr 87.62 Sr.upf
Te 127.60 Te.upf
Br 79.90 Br.upf
ATOMIC_POSITIONS crystal
Sr 0.156 0.311 0.217
Sr 0.844 0.689 0.783
Te 0.478 0.955 0.367
Te 0.522 0.045 0.633
Br 0.165 0.330 0.896
Br 0.835 0.670 0.104
CELL_PARAMETERS angstrom
5.074 0.000 0.000
-2.537 4.613 0.585
0.000 -0.906 10.136

***

[2]
! Sr6Te5Br (GGA-PBE, optimized geometry); values from VASP
! * calculated density: 4.67 g cm⁻³
! * formation energy without anion corrections: -1.705 eV per atom
! * total magnetization: 0.00 μB per formula unit
&SYSTEM
  ibrav = 0, nat = 12, ntyp = 3
/
ATOMIC_SPECIES
Sr 87.62 Sr.upf
Te 127.60 Te.upf
Br 79.90 Br.upf
ATOMIC_POSITIONS crystal
Sr 0.745 0.085 0.339
Sr 0.255 0.575 0.339
Sr 0.252 0.255 0.000
Sr 0.748 0.745 0.000
Sr 0.745 0.425 0.661
Sr 0.255 0.915 0.661
Te 0.500 0.164 0.673
Te 0.000 0.332 0.335
Te 0.500 0.500 0.000
Te 0.000 0.668 0.665
Te 0.500 0.836 0.327
Br 0.000 0.000 0.000
CELL_PARAMETERS angstrom
8.052 0.192 1.221
1.973 6.834 3.983
0.132 0.074 8.149

***

[3]
! SrTeBr (GGA-PBE, optimized geometry); values from VASP
! * calculated density: 4.37 g cm⁻³
! * formation energy without anion corrections: -1.558 eV per atom
! * energy above the lowest structure with this stoichiometry: 68 meV per atom
! * total magnetization: 0.00 μB per formula unit
&SYSTEM
  ibrav = 0, nat = 6, ntyp = 3
/
ATOMIC_SPECIES
Sr 87.62 Sr.upf
Te 127.60 Te.upf
Br 79.90 Br.upf
ATOMIC_POSITIONS crystal
Sr 0.795 0.205 0.760
Sr 0.205 0.795 0.240
Te 0.592 0.408 0.385
Te 0.408 0.592 0.615
Br 0.165 0.835 0.879
Br 0.835 0.165 0.121
CELL_PARAMETERS angstrom
5.154 -1.002 -0.268
-1.004 5.153 0.268
-0.661 0.661 8.826

***

[4]
! SrTeBr (GGA-PBE, optimized geometry); values from VASP
! * calculated density: 4.42 g cm⁻³
! * formation energy without anion corrections: -1.310 eV per atom
! * energy above the lowest structure with this stoichiometry: 316 meV per atom
! * total magnetization: 0.00 μB per formula unit
&SYSTEM
  ibrav = 0, nat = 3, ntyp = 3
/
ATOMIC_SPECIES
Sr 87.62 Sr.upf
Te 127.60 Te.upf
Br 79.90 Br.upf
ATOMIC_POSITIONS crystal
Sr 0.347 0.347 0.653
Te 0.700 0.700 0.300
Br 0.953 0.953 0.047
CELL_PARAMETERS angstrom
8.260 0.028 -0.030
7.390 3.692 -0.023
0.871 0.200 3.658

***

[5]
! SrTe2Br2 (GGA-PBE, optimized geometry); values from VASP
! * calculated density: 4.02 g cm⁻³
! * formation energy without anion corrections: -1.053 eV per atom
! * total magnetization: 0.00 μB per formula unit
&SYSTEM
  ibrav = 0, nat = 5, ntyp = 3
/
ATOMIC_SPECIES
Sr 87.62 Sr.upf
Te 127.60 Te.upf
Br 79.90 Br.upf
ATOMIC_POSITIONS crystal
Sr 0.000 0.000 0.000
Te 0.750 0.250 0.500
Te 0.250 0.750 0.500
Br 0.430 0.430 0.140
Br 0.570 0.570 0.860
CELL_PARAMETERS angstrom
4.139 0.000 0.000
0.000 4.139 0.000
2.070 2.070 12.117

***

[6]
! SrTeBr (GGA-PBE, optimized geometry); values from VASP
! * calculated density: 4.44 g cm⁻³
! * formation energy without anion corrections: -0.921 eV per atom
! * energy above the lowest structure with this stoichiometry: 705 meV per atom
! * total magnetization: 0.00 μB per formula unit
&SYSTEM
  ibrav = 0, nat = 3, ntyp = 3
/
ATOMIC_SPECIES
Sr 87.62 Sr.upf
Te 127.60 Te.upf
Br 79.90 Br.upf
ATOMIC_POSITIONS crystal
Sr 0.000 0.000 0.000
Te 0.500 0.500 0.500
Br 0.750 0.750 0.750
CELL_PARAMETERS angstrom
-3.876 3.572 -1.087
-3.308 1.655 3.910
0.367 5.027 1.888